VASP calculation (GGA-PBEsol) on a relaxed structure of TaPt2Cl.

Computed properties:
Volume: 127.5 Å³ per cell
Space-group type: No. 139
Formation energy without anion corrections: 0.162 eV/atom
Magnetization: 0.00 μB/atom
Raw total energy: -6.960 eV per atom

Structure (POSCAR):
```
TaPt2Cl
1.0
3.9772 0.0000 0.0000
0.0000 3.9772 0.0000
0.0000 0.0000 8.0618
Ta Pt Cl
2 4 2
direct
0.0000 0.0000 0.0000
0.5000 0.5000 0.5000
0.0000 0.5000 0.2500
0.0000 0.5000 0.7500
0.5000 0.0000 0.2500
0.5000 0.0000 0.7500
0.0000 0.0000 0.5000
0.5000 0.5000 0.0000
```

***

VASP calculation (GGA-PBEsol) on a relaxed structure of TaPt2Cl.

Computed properties:
Volume: 157.7 Å³ per cell
Space-group type: No. 44
Formation energy without anion corrections: -0.232 eV/atom
Magnetization: 0.00 μB/atom
Raw total energy: -7.353 eV per atom

Structure (POSCAR):
```
TaPt2Cl
1.0
2.8094 0.0000 0.0000
0.0000 4.3132 0.0000
0.0000 0.0000 13.0167
Ta Pt Cl
2 4 2
direct
0.0000 0.0000 0.0000
0.5000 0.5000 0.5000
0.0000 0.0000 0.4349
0.0000 0.5000 0.3177
0.5000 0.0000 0.8177
0.5000 0.5000 0.9349
0.0000 0.5000 0.6541
0.5000 0.0000 0.1541
```

***

VASP calculation (GGA-PBEsol) on a relaxed structure of TaPtCl.

Computed properties:
Volume: 51.7 Å³ per cell
Space-group type: No. 156
Formation energy without anion corrections: -0.401 eV/atom
Magnetization: 0.00 μB/atom
Raw total energy: -7.575 eV per atom

Structure (POSCAR):
```
TaPtCl
1.0
2.9544 0.0000 0.0000
-1.4772 2.5586 0.0000
0.0000 0.0000 6.8447
Ta Pt Cl
1 1 1
direct
0.0000 0.0000 0.0000
0.6667 0.3333 0.3080
0.3333 0.6667 0.7307
```

***

VASP calculation (GGA-PBEsol) on a relaxed structure of TcPt2Cl.

Computed properties:
Volume: 181.1 Å³ per cell
Space-group type: No. 166
Formation energy without anion corrections: 0.188 eV/atom
Magnetization: 0.00 μB/atom
Raw total energy: -6.612 eV per atom

Structure (POSCAR):
```
TcPt2Cl
1.0
2.8461 0.0000 0.0000
-1.4231 2.4648 0.0000
0.0000 0.0000 25.8195
Tc Pt Cl
3 6 3
direct
0.0000 0.0000 0.0000
0.3333 0.6667 0.6667
0.6667 0.3333 0.3333
0.0000 0.0000 0.2525
0.0000 0.0000 0.7475
0.3333 0.6667 0.4142
0.3333 0.6667 0.9191
0.6667 0.3333 0.0809
0.6667 0.3333 0.5858
0.0000 0.0000 0.5000
0.3333 0.6667 0.1667
0.6667 0.3333 0.8333
```

***

VASP calculation (GGA-PBEsol) on a relaxed structure of TcPtCl2.

Computed properties:
Volume: 166.3 Å³ per cell
Space-group type: No. 44
Formation energy without anion corrections: 0.494 eV/atom
Magnetization: 0.80 μB/atom
Raw total energy: -5.067 eV per atom

Structure (POSCAR):
```
TcPtCl2
1.0
2.8983 0.0000 0.0000
0.0000 6.3043 0.0000
0.0000 0.0000 9.0995
Tc Pt Cl
2 2 4
direct
0.0000 0.0000 0.0000
0.5000 0.5000 0.5000
0.0000 0.5000 0.2696
0.5000 0.0000 0.7696
0.0000 0.0000 0.5457
0.0000 0.5000 0.7035
0.5000 0.0000 0.2035
0.5000 0.5000 0.0457
```

***

VASP calculation (GGA-PBEsol) on a relaxed structure of TcPt2Cl.

Computed properties:
Volume: 61.1 Å³ per cell
Space-group type: No. 47
Formation energy without anion corrections: 0.595 eV/atom
Magnetization: 0.36 μB/atom
Raw total energy: -6.206 eV per atom

Structure (POSCAR):
```
TcPt2Cl
1.0
2.7400 0.0000 0.0000
0.0000 4.5301 0.0000
0.0000 0.0000 4.9227
Tc Pt Cl
1 2 1
direct
0.0000 0.0000 0.0000
0.0000 0.5000 0.5000
0.5000 0.0000 0.5000
0.5000 0.5000 0.0000
```

***

VASP calculation (GGA-PBEsol) on a relaxed structure of TcPt2Cl.

Computed properties:
Volume: 61.3 Å³ per cell
Space-group type: No. 123
Formation energy without anion corrections: 0.158 eV/atom
Magnetization: 0.00 μB/atom
Raw total energy: -6.643 eV per atom

Structure (POSCAR):
```
TcPt2Cl
1.0
2.8044 0.0000 0.0000
0.0000 2.8044 0.0000
0.0000 0.0000 7.7908
Tc Pt Cl
1 2 1
direct
0.0000 0.0000 0.0000
0.5000 0.5000 0.2303
0.5000 0.5000 0.7697
0.0000 0.0000 0.5000
```

***

VASP calculation (GGA-PBEsol) on a relaxed structure of TcPtCl2.

Computed properties:
Volume: 69.0 Å³ per cell
Space-group type: No. 99
Formation energy without anion corrections: 0.029 eV/atom
Magnetization: 0.00 μB/atom
Raw total energy: -5.532 eV per atom

Structure (POSCAR):
```
TcPtCl2
1.0
2.9424 0.0000 0.0000
0.0000 2.9424 0.0000
0.0000 0.0000 7.9740
Tc Pt Cl
1 1 2
direct
0.0000 0.0000 0.0000
0.5000 0.5000 0.7978
0.0000 0.0000 0.5788
0.5000 0.5000 0.1964
```

***

VASP calculation (GGA-PBEsol) on a relaxed structure of TcPtCl2.

Computed properties:
Volume: 61.5 Å³ per cell
Space-group type: No. 10
Formation energy without anion corrections: 0.504 eV/atom
Magnetization: 0.00 μB/atom
Raw total energy: -5.058 eV per atom

Structure (POSCAR):
```
TcPtCl2
1.0
2.8656 0.0000 0.0000
0.0000 4.1754 0.0000
-0.3915 0.0000 5.1398
Tc Pt Cl
1 1 2
direct
0.0000 0.0000 0.0000
0.5000 0.0000 0.5000
0.1938 0.5000 0.2420
0.8062 0.5000 0.7580
```

***

VASP calculation (GGA-PBEsol) on a relaxed structure of TcPt2Cl.

Computed properties:
Volume: 120.3 Å³ per cell
Space-group type: No. 65
Formation energy without anion corrections: 0.606 eV/atom
Magnetization: 0.00 μB/atom
Raw total energy: -6.194 eV per atom

Structure (POSCAR):
```
TcPt2Cl
1.0
5.2494 0.0000 0.0000
0.0000 8.4014 0.0000
0.0000 0.0000 2.7267
Tc Pt Cl
2 4 2
direct
0.0000 0.0000 0.0000
0.5000 0.5000 0.0000
0.2500 0.2500 0.5000
0.2500 0.7500 0.5000
0.7500 0.2500 0.5000
0.7500 0.7500 0.5000
0.0000 0.5000 0.0000
0.5000 0.0000 0.0000
```

***

VASP calculation (GGA-PBEsol) on a relaxed structure of TcPt2Cl.

Computed properties:
Volume: 249.1 Å³ per cell
Space-group type: No. 225
Formation energy without anion corrections: 0.795 eV/atom
Magnetization: 0.45 μB/atom
Raw total energy: -6.006 eV per atom

Structure (POSCAR):
```
TcPt2Cl
1.0
6.2919 0.0000 0.0000
0.0000 6.2919 0.0000
0.0000 0.0000 6.2919
Tc Pt Cl
4 8 4
direct
0.0000 0.0000 0.0000
0.0000 0.5000 0.5000
0.5000 0.0000 0.5000
0.5000 0.5000 0.0000
0.2500 0.2500 0.2500
0.2500 0.2500 0.7500
0.2500 0.7500 0.2500
0.2500 0.7500 0.7500
0.7500 0.2500 0.2500
0.7500 0.2500 0.7500
0.7500 0.7500 0.2500
0.7500 0.7500 0.7500
0.0000 0.0000 0.5000
0.0000 0.5000 0.0000
0.5000 0.0000 0.0000
0.5000 0.5000 0.5000
```

***

VASP calculation (GGA-PBEsol) on a relaxed structure of TePtCl2.

Computed properties:
Volume: 77.2 Å³ per cell
Space-group type: No. 123
Formation energy without anion corrections: 0.669 eV/atom
Magnetization: 0.00 μB/atom
Raw total energy: -2.957 eV per atom

Structure (POSCAR):
```
TePtCl2
1.0
5.0026 0.0000 0.0000
0.0000 5.0026 0.0000
0.0000 0.0000 3.0858
Te Pt Cl
1 1 2
direct
0.0000 0.0000 0.0000
0.5000 0.5000 0.0000
0.0000 0.5000 0.5000
0.5000 0.0000 0.5000
```

***

VASP calculation (GGA-PBEsol) on a relaxed structure of Te2Pt2Cl.

Computed properties:
Volume: 215.9 Å³ per cell
Space-group type: No. 139
Formation energy without anion corrections: -0.103 eV/atom
Magnetization: 0.00 μB/atom
Raw total energy: -4.700 eV per atom

Structure (POSCAR):
```
Te2Pt2Cl
1.0
5.1820 0.0000 0.0000
0.0000 5.1820 0.0000
0.0000 0.0000 8.0411
Te Pt Cl
4 4 2
direct
0.0000 0.5000 0.2500
0.0000 0.5000 0.7500
0.5000 0.0000 0.2500
0.5000 0.0000 0.7500
0.0000 0.0000 0.1614
0.0000 0.0000 0.8386
0.5000 0.5000 0.3386
0.5000 0.5000 0.6614
0.0000 0.0000 0.5000
0.5000 0.5000 0.0000
```

***

VASP calculation (GGA-PBEsol) on a relaxed structure of Te2PtCl.

Computed properties:
Volume: 107.0 Å³ per cell
Space-group type: No. 25
Formation energy without anion corrections: -0.038 eV/atom
Magnetization: 0.00 μB/atom
Raw total energy: -4.044 eV per atom

Structure (POSCAR):
```
Te2PtCl
1.0
3.4960 0.0000 0.0000
0.0000 3.5079 0.0000
0.0000 0.0000 8.7212
Te Pt Cl
2 1 1
direct
0.0000 0.0000 0.0000
0.5000 0.5000 0.4100
0.5000 0.5000 0.1133
0.0000 0.0000 0.7177
```

***

VASP calculation (GGA-PBEsol) on a relaxed structure of Te2PtCl.

Computed properties:
Volume: 193.0 Å³ per cell
Space-group type: No. 35
Formation energy without anion corrections: 0.056 eV/atom
Magnetization: 0.00 μB/atom
Raw total energy: -3.950 eV per atom

Structure (POSCAR):
```
Te2PtCl
1.0
3.7246 0.0000 0.0000
0.0000 5.4207 0.0000
0.0000 0.0000 9.5572
Te Pt Cl
4 2 2
direct
0.0000 0.0000 0.0000
0.0000 0.5000 0.3118
0.5000 0.0000 0.3118
0.5000 0.5000 0.0000
0.0000 0.5000 0.8162
0.5000 0.0000 0.8162
0.0000 0.0000 0.6451
0.5000 0.5000 0.6451
```

***

VASP calculation (GGA-PBEsol) on a relaxed structure of TePtCl2.

Computed properties:
Volume: 309.5 Å³ per cell
Space-group type: No. 225
Formation energy without anion corrections: 0.662 eV/atom
Magnetization: 0.00 μB/atom
Raw total energy: -2.964 eV per atom

Structure (POSCAR):
```
TePtCl2
1.0
6.7640 0.0000 0.0000
0.0000 6.7640 0.0000
0.0000 0.0000 6.7640
Te Pt Cl
4 4 8
direct
0.0000 0.0000 0.0000
0.0000 0.5000 0.5000
0.5000 0.0000 0.5000
0.5000 0.5000 0.0000
0.0000 0.0000 0.5000
0.0000 0.5000 0.0000
0.5000 0.0000 0.0000
0.5000 0.5000 0.5000
0.2500 0.2500 0.2500
0.2500 0.2500 0.7500
0.2500 0.7500 0.2500
0.2500 0.7500 0.7500
0.7500 0.2500 0.2500
0.7500 0.2500 0.7500
0.7500 0.7500 0.2500
0.7500 0.7500 0.7500
```

***

VASP calculation (GGA-PBEsol) on a relaxed structure of Te4PtCl.

Computed properties:
Volume: 154.9 Å³ per cell
Space-group type: No. 216
Formation energy without anion corrections: 0.636 eV/atom
Magnetization: 0.00 μB/atom
Raw total energy: -3.210 eV per atom

Structure (POSCAR):
```
Te4PtCl
1.0
0.0000 4.2625 4.2625
4.2625 0.0000 4.2625
4.2625 4.2625 0.0000
Te Pt Cl
4 1 1
direct
0.1246 0.1246 0.1246
0.1246 0.1246 0.6261
0.1246 0.6261 0.1246
0.6261 0.1246 0.1246
0.7500 0.7500 0.7500
0.5000 0.5000 0.5000
```

***

VASP calculation (GGA-PBEsol) on a relaxed structure of Te2PtCl.

Computed properties:
Volume: 208.0 Å³ per cell
Space-group type: No. 8
Formation energy without anion corrections: -0.209 eV/atom
Magnetization: 0.00 μB/atom
Raw total energy: -4.215 eV per atom

Structure (POSCAR):
```
Te2PtCl
1.0
16.2858 0.0000 0.0000
0.0000 3.9578 0.0000
-0.5263 0.0000 3.2263
Te Pt Cl
4 2 2
direct
0.0000 0.0000 0.0000
0.1987 0.0000 0.4736
0.5000 0.5000 0.0000
0.6987 0.5000 0.4736
0.0899 0.5000 0.3274
0.5899 0.0000 0.3274
0.3562 0.5000 0.1630
0.8562 0.0000 0.1630
```

***

VASP calculation (GGA-PBEsol) on a relaxed structure of Te2PtCl.

Computed properties:
Volume: 187.9 Å³ per cell
Space-group type: No. 71
Formation energy without anion corrections: -0.029 eV/atom
Magnetization: 0.00 μB/atom
Raw total energy: -4.035 eV per atom

Structure (POSCAR):
```
Te2PtCl
1.0
4.1708 0.0000 0.0000
0.0000 5.6768 0.0000
0.0000 0.0000 7.9378
Te Pt Cl
4 2 2
direct
0.0000 0.0000 0.1968
0.0000 0.0000 0.8032
0.5000 0.5000 0.3032
0.5000 0.5000 0.6968
0.0000 0.5000 0.5000
0.5000 0.0000 0.0000
0.0000 0.5000 0.0000
0.5000 0.0000 0.5000
```

***

VASP calculation (GGA-PBEsol) on a relaxed structure of Te2PtCl.

Computed properties:
Volume: 292.1 Å³ per cell
Space-group type: No. 166
Formation energy without anion corrections: -0.467 eV/atom
Magnetization: 0.00 μB/atom
Raw total energy: -4.473 eV per atom

Structure (POSCAR):
```
Te2PtCl
1.0
4.0292 0.0000 0.0000
-2.0146 3.4894 0.0000
0.0000 0.0000 20.7661
Te Pt Cl
6 3 3
direct
0.0000 0.0000 0.2296
0.0000 0.0000 0.7704
0.3333 0.6667 0.4371
0.3333 0.6667 0.8963
0.6667 0.3333 0.1037
0.6667 0.3333 0.5629
0.0000 0.0000 0.5000
0.3333 0.6667 0.1667
0.6667 0.3333 0.8333
0.0000 0.0000 0.0000
0.3333 0.6667 0.6667
0.6667 0.3333 0.3333
```